Entry 1:
# BaLi3Al SCAN PBEsol geometry
data_BaLi3Al
_chemical_formula_sum 'Ba1 Li3 Al1'
_symmetry_space_group_name_H-M 'P 1'
_symmetry_Int_Tables_number 1
_cell_length_a 5.329
_cell_length_b 5.329
_cell_length_c 5.329
_cell_angle_alpha 90.00
_cell_angle_beta 90.00
_cell_angle_gamma 90.00
loop_
_symmetry_equiv_pos_as_xyz
'x,y,z'
loop_
_atom_site_label
_atom_site_fract_x
_atom_site_fract_y
_atom_site_fract_z
_atom_site_occupancy
Ba1 0.000 0.000 0.000 1
Li1 0.000 0.000 0.500 1
Li2 0.500 0.000 0.000 1
Li3 0.000 0.500 0.000 1
Al1 0.500 0.500 0.500 1
# Calculated formation energy = 1157 meV/atom
# Theoretical density = 2.03 g/cm3
# Total moment = 0.00 Bohr magnetons per cell

---

Entry 2:
# SrEuS2 SCAN PBEsol geometry
data_SrEuS2
_chemical_formula_sum 'Sr1 Eu1 S2'
_symmetry_space_group_name_H-M 'P 1'
_symmetry_Int_Tables_number 1
_cell_length_a 4.141
_cell_length_b 4.141
_cell_length_c 7.197
_cell_angle_alpha 73.28
_cell_angle_beta 73.28
_cell_angle_gamma 60.00
loop_
_symmetry_equiv_pos_as_xyz
'x,y,z'
loop_
_atom_site_label
_atom_site_fract_x
_atom_site_fract_y
_atom_site_fract_z
_atom_site_occupancy
S1 0.253 0.253 0.241 1
S2 0.747 0.747 0.759 1
Eu1 0.000 0.000 0.000 1
Sr1 0.500 0.500 0.500 1
# Energy relative to the elements, uncorrected = -2.414 eV per atom
# Theoretical density = 5.00 g/cm3
# Total moment = 7.00 Bohr magnetons per cell